Entry from Alexandria: crystalline RbLa2FeO5 at its relaxed geometry (GGA+U).

Cell: 7.615 7.615 7.615 Å, 125.60 125.60 80.54°
Sites, in units of the cell vectors:
Rb 0.250 0.250 0.000
Rb 0.750 0.750 0.000
La 0.181 0.681 0.862
La 0.319 0.181 0.500
La 0.681 0.819 0.500
La 0.819 0.319 0.138
Fe 0.250 0.750 0.500
Fe 0.750 0.250 0.500
O 0.000 0.000 0.000
O 0.004 0.757 0.500
O 0.243 0.743 0.247
O 0.257 0.504 0.500
O 0.496 0.996 0.753
O 0.500 0.500 0.000
O 0.504 0.004 0.247
O 0.743 0.496 0.500
O 0.757 0.257 0.753
O 0.996 0.243 0.500

The calculated volume is 15.641 A^3/atom. The calculation puts the density of states at the Fermi level at 0.000 states/eV/atom. For the raw total energy, the calculation gives -6.866 eV per atom. The total moment comes out at 2.004 Bohr magnetons per cell. Its symmetry is I4/mcm, No. 140.